1.
A plane-wave DFT calculation with PBE was carried out for crystalline MnCuRe2 at its relaxed geometry.

Cell lengths 2.597, 4.263, 4.980 Å; angles 90.00, 99.14, 90.00 degrees
Space group Pm (No. 6)
Asymmetric unit:
Mn: 0.000 0.000 0.000 x1
Cu: 0.987 0.500 0.749 x1
Re: 0.403 0.000 0.513 x1
Re: 0.628 0.500 0.235 x1

Total magnetic moment (Bohr magnetons per cell): 2.2
DOS at the Fermi energy (states/eV/atom): 0.6230
E_form (kJ/mol of atoms): 18.6
Polymorph energy (0 for the lowest one) (eV per atom): 0.0248
DFT total energy (eV/atom): -9.348



2.
A plane-wave DFT calculation with PBE was carried out for crystalline MnCuRe at its relaxed geometry.

Cell lengths 4.1866, 4.1866, 2.5644 Å; angles 90.00, 90.00, 120.00 degrees
Space group P3m1 (No. 156)
Asymmetric unit:
Mn: 0.0000 0.0000 0.0000 x1
Cu: 0.3333 0.6667 0.2185 x1
Re: 0.6667 0.3333 0.6623 x1

Total magnetic moment (Bohr magnetons per cell): 1.7
DOS at the Fermi energy (states/eV/atom): 0.7247
E_form (kJ/mol of atoms): 18.0
Polymorph energy (0 for the lowest one) (eV per atom): 0.0000
DFT total energy (eV/atom): -8.385



3.
A plane-wave DFT calculation with PBE was carried out for crystalline MnCuRe2 at its relaxed geometry.

Cell lengths 2.712, 3.827, 5.300 Å; angles 90.00, 90.00, 90.00 degrees
Space group Pmm2 (No. 25)
Asymmetric unit:
Mn: 0.000 0.000 0.000 x1
Cu: 0.500 0.500 0.770 x1
Re: 0.000 0.000 0.511 x1
Re: 0.500 0.500 0.264 x1

Total magnetic moment (Bohr magnetons per cell): 2.1
DOS at the Fermi energy (states/eV/atom): 0.9568
E_form (kJ/mol of atoms): 19.5
Polymorph energy (0 for the lowest one) (eV per atom): 0.0345
DFT total energy (eV/atom): -9.338



- What is the polymorph energy (0 for the lowest one) in the first record?
  0.0248 eV per atom